*a*
Entry from the Alexandria database: crystalline TlNiSn2Hg at its relaxed geometry (GGA-PBE).

Summary:
crystal system	tetragonal
space-group type	No. 123

Cell and atoms, written as POSCAR:
```
TlNiSn2Hg
1.0
5.0109 0.0000 0.0000
0.0000 5.0109 0.0000
0.0000 0.0000 5.1607
Tl Ni Sn Hg
1 1 2 1
Direct
0.0000 0.0000 0.0000
0.5000 0.5000 0.5000
0.0000 0.5000 0.5000
0.5000 0.0000 0.5000
0.5000 0.5000 0.0000
```

---

*b*
Entry from the Alexandria database: crystalline TlNiSn2Hg at its relaxed geometry (GGA-PBE).

Summary:
crystal system	tetragonal
space-group type	No. 123

Cell and atoms, written as POSCAR:
```
TlNiSn2Hg
1.0
5.0067 0.0000 0.0000
0.0000 5.0067 0.0000
0.0000 0.0000 5.2533
Tl Ni Sn Hg
1 1 2 1
Direct
0.0000 0.0000 0.0000
0.0000 0.0000 0.5000
0.0000 0.5000 0.5000
0.5000 0.0000 0.5000
0.5000 0.5000 0.0000
```

---

Least stable: *b*

---

*a*
Entry from the Alexandria database: crystalline SrNi2Hg2 at its relaxed geometry (GGA-PBE).

Summary:
crystal system	tetragonal
space-group type	No. 139

Cell and atoms, written as POSCAR:
```
SrNi2Hg2
1.0
4.4743 0.0000 0.0000
0.0000 4.4743 0.0000
0.0000 0.0000 10.6941
Sr Ni Hg
2 4 4
Direct
0.0000 0.0000 0.0000
0.5000 0.5000 0.5000
0.0000 0.0000 0.3931
0.0000 0.0000 0.6069
0.5000 0.5000 0.1069
0.5000 0.5000 0.8931
0.0000 0.5000 0.2500
0.0000 0.5000 0.7500
0.5000 0.0000 0.2500
0.5000 0.0000 0.7500
```

---

*b*
Entry from the Alexandria database: crystalline SrNi2Hg2 at its relaxed geometry (GGA-PBE).

Summary:
crystal system	tetragonal
space-group type	No. 127

Cell and atoms, written as POSCAR:
```
SrNi2Hg2
1.0
7.4944 0.0000 0.0000
0.0000 7.4944 0.0000
0.0000 0.0000 3.5133
Sr Ni Hg
2 4 4
Direct
0.0000 0.0000 0.0000
0.5000 0.5000 0.0000
0.1192 0.3808 0.0000
0.3808 0.8808 0.0000
0.6192 0.1192 0.0000
0.8808 0.6192 0.0000
0.1653 0.6653 0.5000
0.3347 0.1653 0.5000
0.6653 0.8347 0.5000
0.8347 0.3347 0.5000
```

---

Least stable: *b*

---

*a*
Entry from the Alexandria database: crystalline Sr2TlNiHg at its relaxed geometry (GGA-PBE).

Summary:
crystal system	tetragonal
space-group type	No. 123

Cell and atoms, written as POSCAR:
```
Sr2TlNiHg
1.0
5.7376 0.0000 0.0000
0.0000 5.7376 0.0000
0.0000 0.0000 4.9643
Sr Tl Ni Hg
2 1 1 1
Direct
0.0000 0.5000 0.0000
0.5000 0.0000 0.0000
0.0000 0.0000 0.5000
0.0000 0.0000 0.0000
0.5000 0.5000 0.5000
```

---

*b*
Entry from the Alexandria database: crystalline Sr2TlNiHg at its relaxed geometry (GGA-PBE).

Summary:
crystal system	tetragonal
space-group type	No. 123

Cell and atoms, written as POSCAR:
```
Sr2TlNiHg
1.0
6.2962 0.0000 0.0000
0.0000 6.2962 0.0000
0.0000 0.0000 4.8119
Sr Tl Ni Hg
2 1 1 1
Direct
0.0000 0.5000 0.0000
0.5000 0.0000 0.0000
0.0000 0.0000 0.0000
0.0000 0.0000 0.5000
0.5000 0.5000 0.5000
```

---

Least stable: *b*

---

*a*
Entry from the Alexandria database: crystalline Ta2NiHg2 at its relaxed geometry (GGA-PBE).

Summary:
crystal system	tetragonal
space-group type	No. 127

Cell and atoms, written as POSCAR:
```
Ta2NiHg2
1.0
8.1639 0.0000 0.0000
0.0000 8.1639 0.0000
0.0000 0.0000 3.0058
Ta Ni Hg
4 2 4
Direct
0.1188 0.3812 0.0000
0.3812 0.8812 0.0000
0.6188 0.1188 0.0000
0.8812 0.6188 0.0000
0.0000 0.0000 0.0000
0.5000 0.5000 0.0000
0.1788 0.6788 0.5000
0.3212 0.1788 0.5000
0.6788 0.8212 0.5000
0.8212 0.3212 0.5000
```

---

*b*
Entry from the Alexandria database: crystalline Ta2NiHg2 at its relaxed geometry (GGA-PBE).

Summary:
crystal system	tetragonal
space-group type	No. 139

Cell and atoms, written as POSCAR:
```
Ta2NiHg2
1.0
3.8056 0.0000 0.0000
0.0000 3.8056 0.0000
0.0000 0.0000 14.4789
Ta Ni Hg
4 2 4
Direct
0.0000 0.0000 0.0821
0.0000 0.0000 0.9179
0.5000 0.5000 0.4179
0.5000 0.5000 0.5821
0.0000 0.0000 0.5000
0.5000 0.5000 0.0000
0.0000 0.5000 0.2500
0.0000 0.5000 0.7500
0.5000 0.0000 0.2500
0.5000 0.0000 0.7500
```

---

Least stable: *b*

---

*a*
Entry from the Alexandria database: crystalline Tb3NiHg at its relaxed geometry (GGA-PBE).

Summary:
crystal system	orthorhombic
space-group type	No. 65

Cell and atoms, written as POSCAR:
```
Tb3NiHg
1.0
4.9010 -7.1716 0.0000
4.9010 7.1716 0.0000
0.0000 0.0000 3.8711
Tb Ni Hg
6 2 2
Direct
0.1786 0.8214 0.0000
0.1809 0.4243 0.5000
0.4243 0.1809 0.5000
0.5757 0.8191 0.5000
0.8191 0.5757 0.5000
0.8214 0.1786 0.0000
0.0000 0.5000 0.0000
0.5000 0.0000 0.0000
0.0000 0.0000 0.5000
0.5000 0.5000 0.0000
```

---

*b*
Entry from the Alexandria database: crystalline Tb3NiHg at its relaxed geometry (GGA-PBE).

Summary:
crystal system	monoclinic
space-group type	No. 11

Cell and atoms, written as POSCAR:
```
Tb3NiHg
1.0
7.3024 0.0000 0.0000
0.0000 4.6675 0.0000
-2.7612 0.0000 7.4705
Tb Ni Hg
6 2 2
Direct
0.0568 0.2500 0.2424
0.3162 0.2500 0.9167
0.3401 0.7500 0.5843
0.6599 0.2500 0.4157
0.6838 0.7500 0.0833
0.9432 0.7500 0.7576
0.0619 0.2500 0.5815
0.9381 0.7500 0.4185
0.3106 0.7500 0.1817
0.6894 0.2500 0.8183
```

---

Least stable: *a*

---

*a*
Entry from the Alexandria database: crystalline TcNiHg3 at its relaxed geometry (GGA-PBE).

Summary:
crystal system	cubic
space-group type	No. 221

Cell and atoms, written as POSCAR:
```
TcNiHg3
1.0
5.2832 0.0000 0.0000
0.0000 5.2832 0.0000
0.0000 0.0000 5.2832
Tc Ni Hg
1 1 3
Direct
0.0000 0.0000 0.0000
0.5000 0.5000 0.5000
0.0000 0.0000 0.5000
0.0000 0.5000 0.0000
0.5000 0.0000 0.0000
```

---

*b*
Entry from the Alexandria database: crystalline TcNiHg3 at its relaxed geometry (GGA-PBE).

Summary:
crystal system	cubic
space-group type	No. 221

Cell and atoms, written as POSCAR:
```
TcNiHg3
1.0
4.9146 0.0000 0.0000
0.0000 4.9146 0.0000
0.0000 0.0000 4.9146
Tc Ni Hg
1 1 3
Direct
0.0000 0.0000 0.0000
0.5000 0.5000 0.5000
0.0000 0.5000 0.5000
0.5000 0.0000 0.5000
0.5000 0.5000 0.0000
```

---

Least stable: *a*